Entry 1:
4
Lattice="3.892 0.000 0.000 0.000 3.892 0.000 0.000 0.000 9.036" Properties=species:S:1:pos:R:3 comment="PBE Sr2BiSb, optimized geometry" vol_a3_per_atom=34.22 rho_g_cm3=6.14 m_tot_mub_per_fu=0.0 e_form_raw_ev_per_atom=-0.80 total_energy_ev_per_cell=-14.57 pbc="T T T"
Sb 1.946 1.946 0.000
Sr 0.000 0.000 6.894
Sr 0.000 0.000 2.142
Bi 1.946 1.946 4.518

---

Entry 2:
4
Lattice="-4.457 2.743 1.282 -4.587 -0.911 -2.675 -4.094 -2.505 2.448" Properties=species:S:1:pos:R:3 comment="PBE PmLuMgSc, optimized geometry" vol_a3_per_atom=27.65 rho_g_cm3=5.84 m_tot_mub_per_fu=0.0 total_energy_ev_per_cell=-17.07 pbc="T T T"
Pm -3.284 -0.168 0.264
Sc 0.000 0.000 0.000
Mg -6.569 -0.337 0.527
Lu -9.853 -0.505 0.791

---

Entry 3:
28
Lattice="-3.269 6.001 6.162 3.269 -6.001 6.162 3.269 6.001 -6.162" Properties=species:S:1:pos:R:3 comment="PBE Ca7TeN6, optimized geometry" vol_a3_per_atom=17.27 rho_g_cm3=3.38 m_tot_mub_per_fu=1.7 e_form_raw_ev_per_atom=-0.53 total_energy_ev_per_cell=-149.16 pbc="T T T"
Ca 2.419 3.379 7.761
Ca 0.849 2.622 -1.599
Ca 0.000 6.001 3.081
Ca 4.689 0.576 0.000
Ca 3.269 0.000 3.081
Ca -0.849 2.622 7.761
Ca 4.118 3.379 -1.599
Ca -1.421 5.425 6.162
Ca 0.849 2.622 1.599
Ca 2.419 3.379 4.564
Ca 4.118 3.379 1.599
Ca 1.421 5.425 0.000
Ca -0.849 2.622 4.564
Ca 1.848 0.576 6.162
N 0.728 4.230 6.162
N 2.541 1.771 0.000
N 5.139 1.457 2.374
N 1.870 7.458 3.788
N 1.870 4.544 2.374
N 0.728 7.772 0.000
N 1.398 1.457 3.788
N 1.870 4.544 -2.374
N 2.541 -1.771 6.162
N 1.398 -1.457 2.374
N 1.398 1.457 8.537
N -1.870 4.544 3.788
Te 0.000 0.000 3.081
Te 0.000 0.000 9.244

---

Entry 4:
6
Lattice="4.088 0.000 0.000 0.000 5.736 0.000 -2.044 -2.868 6.092" Properties=species:S:1:pos:R:3 comment="PBE TbHo2Se3, optimized geometry" vol_a3_per_atom=23.81 rho_g_cm3=8.44 m_tot_mub_per_fu=0.0 e_form_raw_ev_per_atom=-1.74 total_energy_ev_per_cell=-34.66 pbc="T T T"
Tb 1.022 1.434 3.046
Se 3.066 1.434 0.981
Se 1.022 -1.434 3.046
Se -1.022 1.434 5.111
Ho -1.022 -1.434 5.044
Ho 3.066 4.302 1.047